Cu5AsBr12: relaxed, GGA-PBE.

## Properties
The magnetic moment is 0.1670 μB/atom. As for the total DFT energy (no corrections): -2.809 eV per atom. The density of states at the Fermi level comes out at 0.617 states/eV/atom. As for the energy relative to the elements, uncorrected: -0.2978 eV/atom.

a = 8.2574 Å, b = 6.7070 Å, c = 13.7101 Å
α = 90.64°, β = 91.03°, γ = 52.01°
Fractional positions:
Cu1 0.5000 0.0000 0.5000
Cu2 0.1668 0.6665 0.5000
Cu3 0.8332 0.3336 0.5000
Cu4 0.6696 0.6608 0.0000
Cu5 0.3304 0.3392 0.0000
As1 0.0000 0.0000 0.0000
Br1 0.9045 0.0000 0.3919
Br2 0.0955 0.0000 0.6081
Br3 0.6797 0.0000 0.9395
Br4 0.3203 0.0000 0.0605
Br5 0.2366 0.6399 0.8712
Br6 0.1236 0.6399 0.1288
Br7 0.8764 0.3601 0.8712
Br8 0.7634 0.3601 0.1288
Br9 0.4319 0.3326 0.6074
Br10 0.7645 0.6674 0.6074
Br11 0.2355 0.3326 0.3926
Br12 0.5681 0.6674 0.3926